# TbFeSi3Ru, relaxed, DFT GGA-PBE
data_TbFeSi3Ru
_symmetry_space_group_name_H-M 'C m c m'
_symmetry_Int_Tables_number 63
_symmetry_space_group_name_Hall '-C 2c 2'
_cell_length_a 7.352
_cell_length_b 10.685
_cell_length_c 5.408
_cell_angle_alpha 90.00
_cell_angle_beta 90.00
_cell_angle_gamma 90.00
loop_
_atom_site_label
_atom_site_type_symbol
_atom_site_fract_x
_atom_site_fract_y
_atom_site_fract_z
Tb1 Tb 0.000 0.242 0.250
Fe1 Fe 0.000 0.042 0.750
Si1 Si 0.000 0.237 0.750
Si2 Si 0.242 0.000 0.000
Ru1 Ru 0.000 0.443 0.750
# **Uncorrected energy**: -6.829 eV per atom
# **Uncorrected formation energy**: -0.390 eV/atom